1.
## Ce4OsPb (PBE)

Data for a geometry-optimized Ce4OsPb structure.

## Properties
- Fermi-level density of states: 15.54 states/eV/f.u.
- Crystal system: monoclinic
- Formation energy: -0.23 eV per atom
- Space-group type: C2/c
- Total DFT energy (no corrections): -6.68 eV per atom
- M_tot: 3.0 μB per cell

Unit cell a=8.168 b=8.168 c=5.882 alpha=100.16 beta=100.16 gamma=119.52
Fractional coordinates of all 12 atoms:
Ce1 0.100 0.723 0.910
Ce2 0.203 0.358 0.653
Ce3 0.277 0.900 0.590
Ce4 0.358 0.203 0.153
Ce5 0.642 0.797 0.847
Ce6 0.723 0.100 0.410
Ce7 0.797 0.642 0.347
Ce8 0.900 0.277 0.090
Os1 0.016 0.984 0.250
Os2 0.984 0.016 0.750
Pb1 0.378 0.622 0.250
Pb2 0.622 0.378 0.750



2.
## Ce12OsPb6 (PBE)

Data for a geometry-optimized Ce12OsPb6 structure.

## Properties
- Fermi-level density of states: 49.71 states/eV/f.u.
- Crystal system: trigonal
- Formation energy: -0.14 eV per atom
- Space-group type: R-3
- Total DFT energy (no corrections): -5.65 eV per atom
- M_tot: 5.5 μB per cell

Unit cell a=8.440 b=8.440 c=8.440 alpha=95.62 beta=95.62 gamma=95.62
Fractional coordinates of all 19 atoms:
Ce1 0.034 0.058 0.336
Ce2 0.058 0.336 0.034
Ce3 0.259 0.454 0.588
Ce4 0.336 0.034 0.058
Ce5 0.412 0.741 0.546
Ce6 0.454 0.588 0.259
Ce7 0.546 0.412 0.741
Ce8 0.588 0.259 0.454
Ce9 0.664 0.966 0.942
Ce10 0.741 0.546 0.412
Ce11 0.942 0.664 0.966
Ce12 0.966 0.942 0.664
Os1 0.000 0.000 0.000
Pb1 0.087 0.674 0.328
Pb2 0.326 0.672 0.913
Pb3 0.328 0.087 0.674
Pb4 0.672 0.913 0.326
Pb5 0.674 0.328 0.087
Pb6 0.913 0.326 0.672



3.
## Ce2OsPb (PBE)

Data for a geometry-optimized Ce2OsPb structure.

## Properties
- Fermi-level density of states: 6.40 states/eV/f.u.
- Crystal system: tetragonal
- Formation energy: -0.32 eV per atom
- Space-group type: P4/mmm
- Total DFT energy (no corrections): -7.02 eV per atom
- M_tot: 0.0 μB per cell

Unit cell a=3.303 b=3.303 c=8.934 alpha=90.00 beta=90.00 gamma=90.00
Fractional coordinates of all 4 atoms:
Ce1 0.000 0.000 0.206
Ce2 0.000 0.000 0.794
Os1 0.500 0.500 0.000
Pb1 0.500 0.500 0.500



4.
## Ce3OsPb (PBE)

Data for a geometry-optimized Ce3OsPb structure.

## Properties
- Fermi-level density of states: 13.84 states/eV/f.u.
- Crystal system: monoclinic
- Formation energy: -0.25 eV per atom
- Space-group type: P2_1/c
- Total DFT energy (no corrections): -6.80 eV per atom
- M_tot: 7.6 μB per cell

Unit cell a=8.607 b=8.778 c=7.858 alpha=90.00 beta=111.20 gamma=90.00
Fractional coordinates of all 20 atoms:
Ce1 0.005 0.054 0.330
Ce2 0.005 0.446 0.830
Ce3 0.258 0.112 0.079
Ce4 0.258 0.388 0.579
Ce5 0.338 0.720 0.933
Ce6 0.338 0.780 0.433
Ce7 0.662 0.220 0.567
Ce8 0.662 0.280 0.067
Ce9 0.742 0.612 0.421
Ce10 0.742 0.888 0.921
Ce11 0.995 0.554 0.170
Ce12 0.995 0.946 0.670
Os1 0.088 0.656 0.560
Os2 0.088 0.844 0.060
Os3 0.912 0.156 0.940
Os4 0.912 0.344 0.440
Pb1 0.378 0.053 0.726
Pb2 0.378 0.447 0.226
Pb3 0.622 0.553 0.774
Pb4 0.622 0.947 0.274



5.
## Ce3Os2Pb (PBE)

Data for a geometry-optimized Ce3Os2Pb structure.

## Properties
- Fermi-level density of states: 8.33 states/eV/f.u.
- Crystal system: monoclinic
- Formation energy: -0.14 eV per atom
- Space-group type: C2/m
- Total DFT energy (no corrections): -7.47 eV per atom
- M_tot: 0.0 μB per cell

Unit cell a=7.930 b=7.930 c=8.894 alpha=110.52 beta=110.52 gamma=34.82
Fractional coordinates of all 12 atoms:
Ce1 0.070 0.070 0.201
Ce2 0.245 0.245 0.735
Ce3 0.397 0.397 0.142
Ce4 0.603 0.603 0.858
Ce5 0.755 0.755 0.265
Ce6 0.930 0.930 0.799
Os1 0.054 0.054 0.655
Os2 0.180 0.180 0.032
Os3 0.820 0.820 0.968
Os4 0.946 0.946 0.345
Pb1 0.388 0.388 0.520
Pb2 0.612 0.612 0.480



6.
## Ce7Os2Pb3 (PBE)

Data for a geometry-optimized Ce7Os2Pb3 structure.

## Properties
- Fermi-level density of states: 33.09 states/eV/f.u.
- Crystal system: orthorhombic
- Formation energy: -0.24 eV per atom
- Space-group type: Cmmm
- Total DFT energy (no corrections): -6.50 eV per atom
- M_tot: 4.8 μB per cell

Unit cell a=13.226 b=13.226 c=5.220 alpha=90.00 beta=90.00 gamma=156.79
Fractional coordinates of all 12 atoms:
Ce1 0.000 0.000 0.000
Ce2 0.094 0.906 0.500
Ce3 0.220 0.780 0.000
Ce4 0.389 0.611 0.000
Ce5 0.611 0.389 0.000
Ce6 0.780 0.220 0.000
Ce7 0.906 0.094 0.500
Os1 0.109 0.891 0.000
Os2 0.891 0.109 0.000
Pb1 0.309 0.691 0.500
Pb2 0.500 0.500 0.500
Pb3 0.691 0.309 0.500



7.
## Ce6Os2Pb (PBE)

Data for a geometry-optimized Ce6Os2Pb structure.

## Properties
- Fermi-level density of states: 19.38 states/eV/f.u.
- Crystal system: monoclinic
- Formation energy: -0.11 eV per atom
- Space-group type: C2/c
- Total DFT energy (no corrections): -6.98 eV per atom
- M_tot: 0.0 μB per cell

Unit cell a=8.951 b=8.951 c=7.650 alpha=113.66 beta=113.66 gamma=59.91
Fractional coordinates of all 18 atoms:
Ce1 0.033 0.783 0.775
Ce2 0.035 0.619 0.383
Ce3 0.217 0.967 0.725
Ce4 0.334 0.366 0.985
Ce5 0.366 0.334 0.485
Ce6 0.381 0.965 0.117
Ce7 0.619 0.035 0.883
Ce8 0.634 0.666 0.515
Ce9 0.666 0.634 0.015
Ce10 0.783 0.033 0.275
Ce11 0.965 0.381 0.617
Ce12 0.967 0.217 0.225
Os1 0.084 0.325 0.042
Os2 0.325 0.084 0.542
Os3 0.675 0.916 0.458
Os4 0.916 0.675 0.958
Pb1 0.220 0.780 0.250
Pb2 0.780 0.220 0.750



8.
## Ce5Os2Pb (PBE)

Data for a geometry-optimized Ce5Os2Pb structure.

## Properties
- Fermi-level density of states: 21.92 states/eV/f.u.
- Crystal system: tetragonal
- Formation energy: -0.29 eV per atom
- Space-group type: I4/mcm
- Total DFT energy (no corrections): -7.26 eV per atom
- M_tot: 5.4 μB per cell

Unit cell a=8.790 b=8.790 c=8.790 alpha=126.83 beta=126.83 gamma=78.54
Fractional coordinates of all 16 atoms:
Ce1 0.000 0.000 0.000
Ce2 0.027 0.527 0.818
Ce3 0.209 0.027 0.500
Ce4 0.291 0.791 0.818
Ce5 0.473 0.291 0.500
Ce6 0.500 0.500 0.000
Ce7 0.527 0.709 0.500
Ce8 0.709 0.209 0.182
Ce9 0.791 0.973 0.500
Ce10 0.973 0.473 0.182
Os1 0.141 0.359 0.500
Os2 0.359 0.859 0.218
Os3 0.641 0.141 0.782
Os4 0.859 0.641 0.500
Pb1 0.250 0.250 0.000
Pb2 0.750 0.750 0.000



9.
## Ce5OsPb (PBE)

Data for a geometry-optimized Ce5OsPb structure.

## Properties
- Fermi-level density of states: 19.69 states/eV/f.u.
- Crystal system: monoclinic
- Formation energy: -0.10 eV per atom
- Space-group type: C2/c
- Total DFT energy (no corrections): -6.47 eV per atom
- M_tot: 5.3 μB per cell

Unit cell a=6.440 b=6.440 c=11.022 alpha=109.74 beta=109.74 gamma=64.95
Fractional coordinates of all 14 atoms:
Ce1 0.015 0.562 0.350
Ce2 0.039 0.961 0.750
Ce3 0.192 0.503 0.930
Ce4 0.438 0.985 0.150
Ce5 0.497 0.808 0.570
Ce6 0.503 0.192 0.430
Ce7 0.562 0.015 0.850
Ce8 0.808 0.497 0.070
Ce9 0.961 0.039 0.250
Ce10 0.985 0.438 0.650
Os1 0.000 0.000 0.000
Os2 0.000 0.000 0.500
Pb1 0.465 0.535 0.250
Pb2 0.535 0.465 0.750



10.
## Ce6Os3Pb (PBE)

Data for a geometry-optimized Ce6Os3Pb structure.

## Properties
- Fermi-level density of states: 23.30 states/eV/f.u.
- Crystal system: monoclinic
- Formation energy: -0.18 eV per atom
- Space-group type: P2_1/m
- Total DFT energy (no corrections): -7.48 eV per atom
- M_tot: 5.0 μB per cell

Unit cell a=11.379 b=4.201 c=11.904 alpha=90.00 beta=106.49 gamma=90.00
Fractional coordinates of all 20 atoms:
Ce1 0.022 0.250 0.391
Ce2 0.112 0.250 0.958
Ce3 0.202 0.750 0.259
Ce4 0.272 0.750 0.768
Ce5 0.350 0.250 0.546
Ce6 0.415 0.750 0.085
Ce7 0.585 0.250 0.915
Ce8 0.650 0.750 0.454
Ce9 0.728 0.250 0.232
Ce10 0.798 0.250 0.741
Ce11 0.888 0.750 0.042
Ce12 0.978 0.750 0.609
Os1 0.027 0.250 0.165
Os2 0.179 0.750 0.497
Os3 0.342 0.250 0.915
Os4 0.658 0.750 0.085
Os5 0.821 0.250 0.503
Os6 0.973 0.750 0.835
Pb1 0.443 0.250 0.306
Pb2 0.557 0.750 0.694



11.
## Ce2OsPb (PBE)

Data for a geometry-optimized Ce2OsPb structure.

## Properties
- Fermi-level density of states: 7.11 states/eV/f.u.
- Crystal system: trigonal
- Formation energy: -0.19 eV per atom
- Space-group type: R3m
- Total DFT energy (no corrections): -6.89 eV per atom
- M_tot: 0.3 μB per cell

Unit cell a=8.673 b=8.673 c=8.673 alpha=26.46 beta=26.46 gamma=26.46
Fractional coordinates of all 4 atoms:
Ce1 0.000 0.000 0.000
Ce2 0.209 0.209 0.209
Os1 0.603 0.603 0.603
Pb1 0.772 0.772 0.772



12.
## Ce2OsPb (PBE)

Data for a geometry-optimized Ce2OsPb structure.

## Properties
- Fermi-level density of states: 6.48 states/eV/f.u.
- Crystal system: trigonal
- Formation energy: -0.21 eV per atom
- Space-group type: R-3m
- Total DFT energy (no corrections): -6.91 eV per atom
- M_tot: 0.0 μB per cell

Unit cell a=8.485 b=8.485 c=8.485 alpha=27.21 beta=27.21 gamma=27.21
Fractional coordinates of all 4 atoms:
Ce1 0.230 0.230 0.230
Ce2 0.770 0.770 0.770
Os1 0.500 0.500 0.500
Pb1 0.000 0.000 0.000



Please write out number 5 again, unchanged.
## Ce3Os2Pb (PBE)

Data for a geometry-optimized Ce3Os2Pb structure.

## Properties
- Fermi-level density of states: 8.33 states/eV/f.u.
- Crystal system: monoclinic
- Formation energy: -0.14 eV per atom
- Space-group type: C2/m
- Total DFT energy (no corrections): -7.47 eV per atom
- M_tot: 0.0 μB per cell

Unit cell a=7.930 b=7.930 c=8.894 alpha=110.52 beta=110.52 gamma=34.82
Fractional coordinates of all 12 atoms:
Ce1 0.070 0.070 0.201
Ce2 0.245 0.245 0.735
Ce3 0.397 0.397 0.142
Ce4 0.603 0.603 0.858
Ce5 0.755 0.755 0.265
Ce6 0.930 0.930 0.799
Os1 0.054 0.054 0.655
Os2 0.180 0.180 0.032
Os3 0.820 0.820 0.968
Os4 0.946 0.946 0.345
Pb1 0.388 0.388 0.520
Pb2 0.612 0.612 0.480